# 1
# GGA+U TaZn2MoO6, optimized geometry
data_TaZn2MoO6
_chemical_formula_sum 'Ta2 Zn4 Mo2 O12'
_space_group_name_H-M_alt 'P 1 21/m 1'
_space_group_IT_number 11
_cell_length_a 5.393
_cell_length_b 7.842
_cell_length_c 5.402
_cell_angle_alpha 90.00
_cell_angle_beta 91.74
_cell_angle_gamma 90.00
loop_
_space_group_symop_operation_xyz
'x,y,z'
'-x,-y,-z'
'-x,y+1/2,-z'
'x,-y+1/2,z'
loop_
_atom_site_label
_atom_site_fract_x
_atom_site_fract_y
_atom_site_fract_z
Ta1 0.000 0.000 0.000
Zn1 0.031 0.250 0.505
Zn2 0.484 0.750 0.021
Mo1 0.500 0.000 0.500
O1 0.077 0.750 0.121
O2 0.161 0.566 0.686
O3 0.320 0.068 0.153
O4 0.397 0.250 0.623
# - E_tot (eV/atom) = -7.033

# 2
# GGA+U TbMoO5, optimized geometry
data_TbMoO5
_chemical_formula_sum 'Tb4 Mo4 O20'
_space_group_name_H-M_alt 'C 1 2/c 1'
_space_group_IT_number 15
_cell_length_a 9.082
_cell_length_b 6.467
_cell_length_c 7.672
_cell_angle_alpha 90.00
_cell_angle_beta 114.72
_cell_angle_gamma 90.00
loop_
_space_group_symop_operation_xyz
'x,y,z'
'-x,-y,-z'
'-x,y,-z+1/2'
'x,-y,z+1/2'
'x+1/2,y+1/2,z'
'-x+1/2,-y+1/2,-z'
'-x+1/2,y+1/2,-z+1/2'
'x+1/2,-y+1/2,z+1/2'
loop_
_atom_site_label
_atom_site_fract_x
_atom_site_fract_y
_atom_site_fract_z
Tb1 0.000 0.054 0.250
Mo1 0.000 0.500 0.000
O1 0.000 0.423 0.250
O2 0.009 0.207 0.961
O3 0.228 0.484 0.616
# - E_tot (eV/atom) = -7.270
# - excess energy over the best structure of this formula in the dataset (meV/atom) = 168

# 3
# GGA+U Tb3MoO6, optimized geometry
data_Tb3MoO6
_chemical_formula_sum 'Tb18 Mo6 O36'
_space_group_name_H-M_alt 'R -3'
_space_group_IT_number 148
_space_group_name_Hall '-R 3'
_cell_length_a 9.6118
_cell_length_b 9.6118
_cell_length_c 11.1044
_cell_angle_alpha 90.00
_cell_angle_beta 90.00
_cell_angle_gamma 120.00
loop_
_atom_site_label
_atom_site_fract_x
_atom_site_fract_y
_atom_site_fract_z
Tb1 0.0408 0.2662 0.2059
Mo1 0.0000 0.0000 0.0000
Mo2 0.0000 0.0000 0.5000
O1 0.0272 0.2132 0.4040
O2 0.0280 0.1859 0.8763
# - E_tot (eV/atom) = -8.181
# - excess energy over the best structure of this formula in the dataset (meV/atom) = 0

# 4
# GGA+U Tb6MoO12, optimized geometry
data_Tb6MoO12
_chemical_formula_sum 'Tb18 Mo3 O36'
_space_group_name_H-M_alt 'R -3'
_space_group_IT_number 148
_space_group_name_Hall '-R 3'
_cell_length_a 9.8788
_cell_length_b 9.8788
_cell_length_c 9.4508
_cell_angle_alpha 90.00
_cell_angle_beta 90.00
_cell_angle_gamma 120.00
loop_
_atom_site_label
_atom_site_fract_x
_atom_site_fract_y
_atom_site_fract_z
Tb1 0.0422 0.2549 0.1431
Mo1 0.0000 0.0000 0.5000
O1 0.0331 0.2232 0.9006
O2 0.0368 0.1833 0.3878
# - E_tot (eV/atom) = -8.172

# 5
# GGA+U Tb3Mo5O12, optimized geometry
data_Tb3Mo5O12
_chemical_formula_sum 'Tb24 Mo40 O96'
_space_group_name_H-M_alt 'I a -3 d'
_space_group_IT_number 230
_space_group_name_Hall '-I 4bd 2c 3'
_cell_length_a 13.182
_cell_length_b 13.182
_cell_length_c 13.182
_cell_angle_alpha 90.00
_cell_angle_beta 90.00
_cell_angle_gamma 90.00
loop_
_atom_site_label
_atom_site_fract_x
_atom_site_fract_y
_atom_site_fract_z
Tb1 0.000 0.250 0.125
Mo1 0.000 0.000 0.000
Mo2 0.000 0.250 0.375
O1 0.014 0.054 0.655
# - E_tot (eV/atom) = -7.572

# 6
# GGA+U TbMoO4, optimized geometry
data_TbMoO4
_chemical_formula_sum 'Tb4 Mo4 O16'
_space_group_name_H-M_alt 'I 41/a m d'
_space_group_IT_number 141
_cell_length_a 7.367
_cell_length_b 7.367
_cell_length_c 6.666
_cell_angle_alpha 90.00
_cell_angle_beta 90.00
_cell_angle_gamma 90.00
loop_
_space_group_symop_operation_xyz
'x,y,z'
'-x,-y,-z'
'-y+1/4,x+3/4,z+1/4'
'y+1/4,-x+3/4,-z+1/4'
'-x+1/2,-y,z+1/2'
'x+1/2,y,-z+1/2'
'y+1/4,-x+1/4,z+3/4'
'-y+1/4,x+1/4,-z+3/4'
'x,-y,-z'
'-x,y,z'
'-y+1/4,-x+1/4,-z+3/4'
'y+1/4,x+1/4,z+3/4'
'-x+1/2,y,-z+1/2'
'x+1/2,-y,z+1/2'
'y+1/4,x+3/4,-z+1/4'
'-y+1/4,-x+3/4,z+1/4'
'x+1/2,y+1/2,z+1/2'
'-x+1/2,-y+1/2,-z+1/2'
'-y+3/4,x+1/4,z+3/4'
'y+3/4,-x+1/4,-z+3/4'
'-x,-y+1/2,z'
'x,y+1/2,-z'
'y+3/4,-x+3/4,z+1/4'
'-y+3/4,x+3/4,-z+1/4'
'x+1/2,-y+1/2,-z+1/2'
'-x+1/2,y+1/2,z+1/2'
'-y+3/4,-x+3/4,-z+1/4'
'y+3/4,x+3/4,z+1/4'
'-x,y+1/2,-z'
'x,-y+1/2,z'
'y+3/4,x+1/4,-z+3/4'
'-y+3/4,-x+1/4,z+3/4'
loop_
_atom_site_label
_atom_site_fract_x
_atom_site_fract_y
_atom_site_fract_z
Tb1 0.000 0.250 0.375
Mo1 0.000 0.250 0.875
O1 0.000 0.058 0.693
# - E_tot (eV/atom) = -7.645

# 7
# GGA+U TbMoO5, optimized geometry
data_TbMoO5
_chemical_formula_sum 'Tb4 Mo4 O20'
_space_group_name_H-M_alt 'P 1 21/c 1'
_space_group_IT_number 14
_cell_length_a 5.380
_cell_length_b 12.621
_cell_length_c 6.963
_cell_angle_alpha 90.00
_cell_angle_beta 117.28
_cell_angle_gamma 90.00
loop_
_space_group_symop_operation_xyz
'x,y,z'
'-x,-y,-z'
'-x,y+1/2,-z+1/2'
'x,-y+1/2,z+1/2'
loop_
_atom_site_label
_atom_site_fract_x
_atom_site_fract_y
_atom_site_fract_z
Tb1 0.156 0.059 0.283
Mo1 0.409 0.135 0.850
O1 0.039 0.556 0.985
O2 0.202 0.059 0.957
O3 0.269 0.236 0.265
O4 0.271 0.657 0.419
O5 0.485 0.576 0.844
# - E_tot (eV/atom) = -7.437
# - excess energy over the best structure of this formula in the dataset (meV/atom) = 0

# 8
# GGA+U Tb3MoO6, optimized geometry
data_Tb3MoO6
_chemical_formula_sum 'Tb12 Mo4 O24'
_space_group_name_H-M_alt 'C m c 21'
_space_group_IT_number 36
_cell_length_a 9.017
_cell_length_b 11.123
_cell_length_c 5.649
_cell_angle_alpha 90.00
_cell_angle_beta 90.00
_cell_angle_gamma 90.00
loop_
_space_group_symop_operation_xyz
'x,y,z'
'-x,-y,z+1/2'
'-x,y,z'
'x,-y,z+1/2'
'x+1/2,y+1/2,z'
'-x+1/2,-y+1/2,z+1/2'
'-x+1/2,y+1/2,z'
'x+1/2,-y+1/2,z+1/2'
loop_
_atom_site_label
_atom_site_fract_x
_atom_site_fract_y
_atom_site_fract_z
Tb1 0.000 0.103 0.000
Tb2 0.208 0.382 0.948
Mo1 0.000 0.355 0.434
O1 0.000 0.278 0.773
O2 0.000 0.484 0.131
O3 0.150 0.246 0.242
O4 0.160 0.015 0.725
# - E_tot (eV/atom) = -8.070
# - excess energy over the best structure of this formula in the dataset (meV/atom) = 111